(1)
YCr2OsCl PBE relaxed; electronic total energy = -36.281 eV per cell; ΔE_f (raw) = 2.51 eV per formula unit; volume = 123 Å³ per cell
1.0
-4.4002 -1.2367 0.8461
0.0724 -3.3751 -4.5564
1.4972 -3.5247 2.6347
Cr Os Cl Y
2 1 1 1
direct
0.5000 0.0000 0.0000 Cr
0.0000 0.0000 0.5000 Cr
0.0000 0.0000 0.0000 Os
0.5000 0.5000 0.5000 Cl
0.0000 0.5000 0.0000 Y

=====

(2)
CrPCl PBE relaxed; electronic total energy = -14.751 eV per cell; ΔE_f (raw) = 2.13 eV per formula unit; polymorph energy (0 for the lowest one) = 27.667 kcal/mol of atoms; volume = 59 Å³ per cell
1.0
-0.8877 -1.2465 -4.0929
-2.6869 -3.3690 -0.7237
-3.9721 0.6956 -1.6829
P Cr Cl
1 1 1
direct
0.7500 0.7500 0.7500 P
0.5000 0.5000 0.5000 Cr
0.0000 0.0000 0.0000 Cl

=====

(3)
CrP2Cl PBE relaxed; electronic total energy = -19.668 eV per cell; ΔE_f (raw) = 2.62 eV per formula unit; polymorph energy (0 for the lowest one) = 21.546 kcal/mol of atoms; volume = 55 Å³ per cell
1.0
-3.4407 -2.1866 1.2920
-0.6293 -1.3809 -3.9982
3.7746 -0.6241 1.9109
P Cl Cr
2 1 1
direct
0.0000 0.0000 0.0000 P
0.2500 0.7500 0.5000 P
0.5000 0.5000 0.0000 Cl
0.7500 0.2500 0.5000 Cr

=====

(4)
CrP2Cl PBE relaxed; electronic total energy = -41.742 eV per cell; ΔE_f (raw) = 1.42 eV per formula unit; polymorph energy (0 for the lowest one) = 14.612 kcal/mol of atoms; volume = 178 Å³ per cell
1.0
5.7511 0.0000 0.0000
0.0000 5.7511 0.0000
2.8756 2.8756 5.3785
P Cr Cl
4 2 2
direct
0.3750 0.2807 0.7500 P
0.0307 0.6250 0.2500 P
0.7193 0.1250 0.2500 P
0.8750 0.9693 0.7500 P
0.7500 0.2500 0.5000 Cr
0.0000 0.0000 0.0000 Cr
0.2500 0.7500 0.5000 Cl
0.5000 0.5000 0.0000 Cl

=====

(5)
CrP3Cl PBE relaxed; electronic total energy = -26.144 eV per cell; ΔE_f (raw) = 1.56 eV per formula unit; polymorph energy (0 for the lowest one) = 0.000 kcal/mol of atoms; volume = 87 Å³ per cell
1.0
-1.7490 0.8969 -3.9740
-3.9933 -1.2335 1.4791
-0.8064 4.1629 1.2945
Cl P Cr
1 3 1
direct
0.5000 0.5000 0.5000 Cl
0.0000 0.0000 0.5000 P
0.0000 0.5000 0.0000 P
0.5000 0.0000 0.0000 P
0.0000 0.0000 0.0000 Cr

=====

(6)
CrPCl PBE relaxed; electronic total energy = -17.028 eV per cell; ΔE_f (raw) = -0.15 eV per formula unit; polymorph energy (0 for the lowest one) = 10.163 kcal/mol of atoms; volume = 61 Å³ per cell
1.0
7.3989 0.1410 -0.0952
6.5693 3.0205 0.1478
0.8295 -0.8521 2.7612
P Cl Cr
1 1 1
direct
0.7214 0.7214 0.2786 P
0.9492 0.9492 0.0508 Cl
0.3294 0.3294 0.6706 Cr

=====

(7)
CrP2Cl PBE relaxed; electronic total energy = -21.321 eV per cell; ΔE_f (raw) = 0.97 eV per formula unit; polymorph energy (0 for the lowest one) = 12.015 kcal/mol of atoms; volume = 70 Å³ per cell
1.0
-4.8604 3.4742 2.3726
-2.0884 1.5722 5.8728
4.7372 -0.4606 -4.3209
Cl P Cr
1 2 1
direct
0.7500 0.2500 0.5000 Cl
0.0206 0.0206 0.0000 P
0.4794 0.4794 0.0000 P
0.2500 0.7500 0.5000 Cr

=====

(8)
Cr2PCl PBE relaxed; electronic total energy = -26.316 eV per cell; ΔE_f (raw) = 0.19 eV per formula unit; polymorph energy (0 for the lowest one) = 8.222 kcal/mol of atoms; volume = 59 Å³ per cell
1.0
-0.6168 2.7739 -0.9862
-2.6265 -1.4141 -0.3860
-1.8687 1.7828 6.1834
P Cr Cl
1 2 1
direct
0.5000 0.5000 0.2500 P
0.0000 0.0000 0.4532 Cr
0.0000 0.0000 0.0468 Cr
0.5000 0.5000 0.7500 Cl

=====

(9)
Cr2PCl PBE relaxed; electronic total energy = -25.922 eV per cell; ΔE_f (raw) = 0.58 eV per formula unit; polymorph energy (0 for the lowest one) = 10.492 kcal/mol of atoms; volume = 72 Å³ per cell
1.0
-0.7428 -5.5026 3.0785
-1.1402 1.1710 -4.6362
2.1369 -1.5485 -2.0673
P Cr Cl
1 2 1
direct
0.0000 0.5000 0.5000 P
0.0000 0.0000 0.0000 Cr
0.5000 0.0000 0.5000 Cr
0.5000 0.5000 0.0000 Cl

=====

(10)
CrPCl PBE relaxed; electronic total energy = -16.614 eV per cell; ΔE_f (raw) = 0.27 eV per formula unit; polymorph energy (0 for the lowest one) = 13.342 kcal/mol of atoms; volume = 53 Å³ per cell
1.0
4.2119 0.0000 0.0000
2.1059 3.6476 0.0000
2.1059 1.2159 3.4390
P Cl Cr
1 1 1
direct
0.0000 0.0000 0.0000 P
0.5000 0.5000 0.5000 Cl
0.7500 0.7500 0.7500 Cr

=====

(11)
Cr2PCl PBE relaxed; electronic total energy = -25.613 eV per cell; ΔE_f (raw) = 0.89 eV per formula unit; polymorph energy (0 for the lowest one) = 12.273 kcal/mol of atoms; volume = 64 Å³ per cell
1.0
-0.1690 -4.2050 -1.7532
3.3754 -1.2931 2.7783
-2.0788 -0.8119 2.1476
Cr P Cl
2 1 1
direct
0.0000 0.0000 0.0000 Cr
0.5000 0.5000 0.0000 Cr
0.5000 0.0000 0.5000 P
0.0000 0.5000 0.5000 Cl

=====

(12)
CrP2Cl PBE relaxed; electronic total energy = -23.172 eV per cell; ΔE_f (raw) = -0.88 eV per formula unit; polymorph energy (0 for the lowest one) = 1.347 kcal/mol of atoms; volume = 89 Å³ per cell
1.0
4.2850 0.0668 -0.0320
3.1158 2.9424 -0.0320
1.7809 0.7241 7.1924
Cr P Cl
1 2 1
direct
0.1964 0.1964 0.1527 Cr
0.7774 0.7774 0.8804 P
0.9294 0.9294 0.0695 P
0.5968 0.5968 0.3974 Cl